First-principles (PBE) data for a geometry-optimized UPt2Pb structure, as listed in Alexandria via LeMat-Bulk.

POSCAR file:
```
UPt2Pb
1.0
3.335 0.000 0.000
0.000 3.335 0.000
0.000 0.000 7.702
Pb U Pt
1 1 2
Cartesian
1.667 1.667 3.851
1.667 1.667 0.000
0.000 0.000 5.998
0.000 0.000 1.704
```

- Formation energy from the elements: -9.552 kcal/mol of atoms
- Calculated volume: 85.64 Å³ per cell
- Electronic total energy: -28.74 eV per cell
- Density of states at the Fermi level: 4.6 states/eV/f.u.
- Symmetry: P4/mmm (123)

***

First-principles (PBE) data for a geometry-optimized UPt2Pb structure, as listed in Alexandria via LeMat-Bulk.

POSCAR file:
```
UPt2Pb
1.0
4.184 0.000 0.000
2.092 3.623 0.000
2.092 1.208 6.128
Pb U Pt
1 1 2
Cartesian
4.184 2.415 3.064
0.000 0.000 0.000
2.092 1.208 1.491
6.275 3.623 4.637
```

- Formation energy from the elements: -8.621 kcal/mol of atoms
- Calculated volume: 92.89 Å³ per cell
- Electronic total energy: -28.57 eV per cell
- Density of states at the Fermi level: 7.8 states/eV/f.u.
- Symmetry: R-3m (166)

***

First-principles (PBE) data for a geometry-optimized VPtPb3 structure, as listed in Alexandria via LeMat-Bulk.

POSCAR file:
```
VPtPb3
1.0
-2.848 -1.302 -4.377
3.249 -4.202 -0.865
-3.209 -3.100 3.010
Pb Pt V
3 1 1
Cartesian
1.624 -2.101 -0.432
-1.604 -1.550 1.505
-1.424 -0.651 -2.188
0.000 0.000 0.000
-1.404 -4.302 -1.116
```

- Formation energy from the elements: 16.471 kcal/mol of atoms
- Calculated volume: 155.88 Å³ per cell
- Electronic total energy: -22.71 eV per cell
- Density of states at the Fermi level: 9.0 states/eV/f.u.
- Energy above the most stable polymorph in this dataset: 0.000 eV/atom
- Symmetry: Pm-3m (221)

***

First-principles (PBE) data for a geometry-optimized V3PtPb structure, as listed in Alexandria via LeMat-Bulk.

POSCAR file:
```
V3PtPb
1.0
4.772 0.000 0.000
0.000 4.772 0.000
0.000 0.000 4.772
Pb Pt V
1 1 3
Cartesian
2.386 2.386 2.386
0.000 0.000 0.000
0.000 2.386 0.000
0.000 0.000 2.386
2.386 0.000 0.000
```

- Formation energy from the elements: 19.244 kcal/mol of atoms
- Calculated volume: 108.66 Å³ per cell
- Electronic total energy: -32.93 eV per cell
- Density of states at the Fermi level: 10.3 states/eV/f.u.
- Energy above the most stable polymorph in this dataset: 0.000 eV/atom
- Symmetry: Pm-3m (221)

***

First-principles (PBE) data for a geometry-optimized V2Pt2Pb structure, as listed in Alexandria via LeMat-Bulk.

POSCAR file:
```
V2Pt2Pb
1.0
3.955 0.000 0.000
0.000 3.955 0.000
1.978 1.978 5.930
Pb Pt V
1 2 2
Cartesian
0.000 0.000 0.000
1.978 1.978 1.363
3.955 3.955 4.567
3.955 1.978 2.965
1.978 3.955 2.965
```

- Formation energy from the elements: -1.212 kcal/mol of atoms
- Calculated volume: 92.77 Å³ per cell
- Electronic total energy: -34.29 eV per cell
- Density of states at the Fermi level: 6.0 states/eV/f.u.
- Symmetry: I4/mmm (139)

***

First-principles (PBE) data for a geometry-optimized VPtPb3 structure, as listed in Alexandria via LeMat-Bulk.

POSCAR file:
```
VPtPb3
1.0
-4.925 0.850 1.506
1.482 -0.269 4.998
0.892 5.143 0.012
Pb Pt V
3 1 1
Cartesian
0.741 -0.134 2.499
0.446 2.572 0.006
-2.462 0.425 0.753
-1.276 2.862 3.258
0.000 0.000 0.000
```

- Formation energy from the elements: 17.018 kcal/mol of atoms
- Calculated volume: 142.22 Å³ per cell
- Electronic total energy: -22.59 eV per cell
- Density of states at the Fermi level: 6.0 states/eV/f.u.
- Energy above the most stable polymorph in this dataset: 0.024 eV/atom
- Symmetry: Pm-3m (221)

***

First-principles (PBE) data for a geometry-optimized VPtPb structure, as listed in Alexandria via LeMat-Bulk.

POSCAR file:
```
VPtPb
1.0
-0.647 0.397 -5.588
2.146 -0.569 -5.180
-5.045 -5.921 -1.223
Pb Pt V
2 2 2
Cartesian
-1.842 -2.178 -6.702
0.652 -0.558 -9.102
-0.907 -2.918 -3.927
-3.002 -5.871 -7.528
-3.029 -4.330 -3.639
-4.215 -4.117 -5.968
```

- Formation energy from the elements: 1.014 kcal/mol of atoms
- Calculated volume: 117.85 Å³ per cell
- Electronic total energy: -37.47 eV per cell
- Density of states at the Fermi level: 2.4 states/eV/f.u.
- Symmetry: P1 (1)

***

First-principles (PBE) data for a geometry-optimized V2PtPb structure, as listed in Alexandria via LeMat-Bulk.

POSCAR file:
```
V2PtPb
1.0
-3.367 -0.351 -1.915
-0.754 -3.292 1.929
-6.523 3.253 6.924
Pb Pt V
2 2 4
Cartesian
0.000 0.000 0.000
-5.976 0.540 2.508
-2.061 -1.822 0.007
-4.669 -0.930 4.430
-3.812 0.184 0.785
-2.540 -1.290 2.687
-6.442 1.057 5.208
-8.495 -0.731 5.195
```

- Formation energy from the elements: 11.916 kcal/mol of atoms
- Calculated volume: 146.30 Å³ per cell
- Electronic total energy: -51.84 eV per cell
- Density of states at the Fermi level: 4.4 states/eV/f.u.
- Symmetry: I-42d (122)

***

Q: calculated volume of number 3 (VPtPb3)?
A: 155.88 Å³ per cell